# InCBr | Alexandria via LeMat-Bulk | GGA-PBE | relaxed
# * E_form (uncorrected): 0.3989 eV/atom
# * crystal system: triclinic
data_InCBr
_chemical_formula_sum 'In2 C2 Br2'
_cell_length_a 3.8677
_cell_length_b 5.2017
_cell_length_c 10.0151
_cell_angle_alpha 90.22
_cell_angle_beta 90.74
_cell_angle_gamma 90.00
_symmetry_space_group_name_H-M 'P 1'
_symmetry_Int_Tables_number 1
_symmetry_space_group_name_Hall 'P 1'
loop_
_atom_site_label
_atom_site_type_symbol
_atom_site_fract_x
_atom_site_fract_y
_atom_site_fract_z
In1 In 0.0000 0.0000 0.0000
In2 In 0.0043 0.7876 0.7031
C1 C 0.4978 0.6631 0.5763
C2 C 0.4992 0.6037 0.4552
Br1 Br 0.4983 0.4316 0.9297
Br2 Br 0.5020 0.5246 0.2800


# Sr3Ag9Hg2 | Alexandria via LeMat-Bulk | GGA-PBE | relaxed
# * crystal system: orthorhombic
# * DFT formation energy: -5.1 kcal/mol of atoms
data_Sr3Ag9Hg2
_chemical_formula_sum 'Sr6 Ag18 Hg4'
_cell_length_a 4.8322
_cell_length_b 9.8235
_cell_length_c 14.2468
_cell_angle_alpha 90.00
_cell_angle_beta 90.00
_cell_angle_gamma 90.00
_symmetry_space_group_name_H-M 'I m m m'
_symmetry_Int_Tables_number 71
_symmetry_space_group_name_Hall '-I 2 2'
loop_
_atom_site_label
_atom_site_type_symbol
_atom_site_fract_x
_atom_site_fract_y
_atom_site_fract_z
Sr1 Sr 0.0000 0.0000 0.0000
Sr2 Sr 0.0000 0.0000 0.3051
Ag1 Ag 0.0000 0.2788 0.1290
Ag2 Ag 0.0000 0.3567 0.3232
Ag3 Ag 0.0000 0.5000 0.0000
Hg1 Hg 0.0000 0.2105 0.5000


# Sr2LiCd6In | Alexandria via LeMat-Bulk | GGA-PBE | relaxed
# * crystal system: monoclinic
# * DFT formation energy: -2.5 kcal/mol of atoms
data_Sr2LiCd6In
_chemical_formula_sum 'Sr4 Li2 Cd12 In2'
_cell_length_a 10.4116
_cell_length_b 10.5290
_cell_length_c 7.1170
_cell_angle_alpha 90.00
_cell_angle_beta 132.75
_cell_angle_gamma 90.00
_symmetry_space_group_name_H-M 'C 1 2/m 1'
_symmetry_Int_Tables_number 12
_symmetry_space_group_name_Hall '-C 2y'
loop_
_atom_site_label
_atom_site_type_symbol
_atom_site_fract_x
_atom_site_fract_y
_atom_site_fract_z
Sr1 Sr 0.0000 0.2043 0.0000
Li1 Li 0.0000 0.5000 0.5000
Cd1 Cd 0.0000 0.2677 0.5000
Cd2 Cd 0.1911 0.5000 0.4074
Cd3 Cd 0.1966 0.5000 0.9738
In1 In 0.0000 0.0000 0.5000


# Ce3CdSn2 | Alexandria via LeMat-Bulk | GGA-PBE | relaxed
# * crystal system: tetragonal
# * DFT formation energy: -10.2 kcal/mol of atoms
# * energy relative to the lowest polymorph listed for this composition: 0.04 eV per formula unit
data_Ce3CdSn2
_chemical_formula_sum 'Ce3 Cd1 Sn2'
_cell_length_a 3.4231
_cell_length_b 3.4231
_cell_length_c 13.8389
_cell_angle_alpha 90.00
_cell_angle_beta 90.00
_cell_angle_gamma 90.00
_symmetry_space_group_name_H-M 'P 4/m m m'
_symmetry_Int_Tables_number 123
_symmetry_space_group_name_Hall '-P 4 2'
loop_
_atom_site_label
_atom_site_type_symbol
_atom_site_fract_x
_atom_site_fract_y
_atom_site_fract_z
Ce1 Ce 0.0000 0.0000 0.0000
Ce2 Ce 0.0000 0.0000 0.3315
Cd1 Cd 0.5000 0.5000 0.5000
Sn1 Sn 0.5000 0.5000 0.1669


Q: What is the formula in the second record?
A: Sr3Ag9Hg2